Entry 1:
Below is a relaxed RbLa3Al crystal, with properties calculated at the PBE level.

Lattice parameters (Å, degrees): 6.0629 6.0629 6.0629 90.00 90.00 90.00
Closest atoms and distances in Å follow each position.
Fractional positions:
La1 0.5000 0.0000 0.0000  2 Al 3.03
La2 0.0000 0.5000 0.0000  2 Al 3.03
La3 0.0000 0.0000 0.5000  2 Al 3.03
Rb1 0.5000 0.5000 0.5000  12 La 4.29
Al1 0.0000 0.0000 0.0000  6 La 3.03

Calculated values
Density of states at the Fermi level (states/eV/cell): 9.04
Formation enthalpy at 0 K (eV/atom): 0.33
Crystal system: cubic
V (Å³/atom): 44.572
M_tot (μB per atom): 0.00



Entry 2:
Below is a relaxed AlIrW2 crystal, with properties calculated at the PBE level.

Lattice parameters (Å, degrees): 4.9784 4.9784 2.7556 90.00 90.00 116.29
Closest atoms and distances in Å follow each position.
Fractional positions:
W1 0.0000 0.0000 0.0000  4 W 2.63-2.76, 4 Al 2.85, 4 Ir 2.85
W2 0.5000 0.5000 0.0000  4 W 2.63-2.76, 4 Ir 2.85, 4 Al 2.85
Al1 0.5000 0.0000 0.5000  2 Ir 2.63, 2 Al 2.76, 8 W 2.85
Ir1 0.0000 0.5000 0.5000  2 Al 2.63, 2 Ir 2.76, 8 W 2.85

Calculated values
Density of states at the Fermi level (states/eV/cell): 2.75
Formation enthalpy at 0 K (eV/atom): -0.10
Crystal system: orthorhombic
V (Å³/atom): 15.308
M_tot (μB per atom): 0.00



Entry 3:
Below is a relaxed Dy2Er6In crystal, with properties calculated at the PBE level.

Lattice parameters (Å, degrees): 6.0643 9.7242 9.7242 72.02 84.11 84.11
Closest atoms and distances in Å follow each position.
Fractional positions:
Er1 0.0208 0.5821 0.3101  1 In 3.19, 4 Er 3.42-3.54, 2 Dy 3.43-3.56
Er2 0.5208 0.3101 0.5821  1 In 3.19, 4 Er 3.42-3.54, 2 Dy 3.43-3.56
Er3 0.8376 0.0175 0.7783  2 In 3.14-3.29, 5 Er 3.25-3.49, 1 Dy 3.44
Er4 0.1624 0.9825 0.2217  2 In 3.14-3.29, 5 Er 3.25-3.49, 1 Dy 3.44
Er5 0.3677 0.9308 0.6530  4 Er 3.20-3.49, 1 In 3.26, 3 Dy 3.37-3.40
Er6 0.1323 0.3470 0.0692  4 Er 3.20-3.49, 1 In 3.26, 3 Dy 3.37-3.40
Er7 0.6624 0.2217 0.9825  2 In 3.14-3.29, 5 Er 3.25-3.49, 1 Dy 3.44
Er8 0.8677 0.6530 0.9308  4 Er 3.20-3.49, 1 In 3.26, 3 Dy 3.37-3.40
Er9 0.3376 0.7783 0.0175  2 In 3.14-3.29, 5 Er 3.25-3.49, 1 Dy 3.44
Er10 0.6323 0.0692 0.3470  4 Er 3.20-3.49, 1 In 3.26, 3 Dy 3.37-3.40
Er11 0.9792 0.4179 0.6899  1 In 3.19, 4 Er 3.42-3.54, 2 Dy 3.43-3.56
Er12 0.4792 0.6899 0.4179  1 In 3.19, 4 Er 3.42-3.54, 2 Dy 3.43-3.56
In1 0.7500 0.8698 0.1302  8 Er 3.14-3.29
In2 0.2500 0.1302 0.8698  8 Er 3.14-3.29
Dy1 0.4302 0.5655 0.7895  10 Er 3.37-3.66
Dy2 0.0698 0.2105 0.4345  10 Er 3.37-3.66
Dy3 0.5698 0.4345 0.2105  10 Er 3.37-3.66
Dy4 0.9302 0.7895 0.5655  10 Er 3.37-3.66

Calculated values
Density of states at the Fermi level (states/eV/cell): 21.56
Formation enthalpy at 0 K (eV/atom): -0.03
Crystal system: monoclinic
V (Å³/atom): 30.056
M_tot (μB per atom): 0.00



Entry 4:
Below is a relaxed Mg3Br crystal, with properties calculated at the PBE level.

Lattice parameters (Å, degrees): 4.7239 4.7239 4.7239 90.00 90.00 90.00
Closest atoms and distances in Å follow each position.
Fractional positions:
Mg1 0.0000 0.5000 0.5000  4 Br 3.34, 8 Mg 3.34
Mg2 0.5000 0.0000 0.5000  4 Br 3.34, 8 Mg 3.34
Mg3 0.5000 0.5000 0.0000  4 Br 3.34, 8 Mg 3.34
Br1 0.0000 0.0000 0.0000  12 Mg 3.34

Calculated values
Density of states at the Fermi level (states/eV/cell): 2.44
Formation energy from raw total energies (eV/f.u.): -0.1
Crystal system: cubic
V (Å³/atom): 26.354
M_tot (μB per atom): 0.00



Entry 5:
Below is a relaxed Sm11Ag9Rh4 crystal, with properties calculated at the PBE level.

Lattice parameters (Å, degrees): 3.7217 12.9329 12.9329 112.59 90.00 90.00
Closest atoms and distances in Å follow each position.
Fractional positions:
Sm1 0.0000 0.4155 0.0794  2 Rh 2.84, 2 Ag 3.17
Sm2 0.0000 0.7031 0.7031  4 Rh 2.91
Sm3 0.0000 0.3671 0.6329  4 Rh 2.92
Sm4 0.0000 0.8335 0.1665  8 Ag 3.16-3.38
Sm5 0.0000 0.2969 0.2969  4 Rh 2.91
Sm6 0.0000 0.5845 0.9206  2 Rh 2.84, 2 Ag 3.17
Sm7 0.0000 0.9206 0.5845  2 Rh 2.84, 2 Ag 3.17
Sm8 0.0000 0.6329 0.3671  4 Rh 2.92
Sm9 0.0000 0.0794 0.4155  2 Rh 2.84, 2 Ag 3.17
Sm10 0.0000 0.0000 0.0000  8 Ag 3.15
Sm11 0.0000 0.1665 0.8335  8 Ag 3.16-3.38
Rh1 0.5000 0.2558 0.4502  6 Sm 2.84-2.92, 3 Ag 2.97-3.12
Rh2 0.5000 0.7442 0.5498  6 Sm 2.84-2.92, 3 Ag 2.97-3.12
Rh3 0.5000 0.4502 0.2558  6 Sm 2.84-2.92, 3 Ag 2.97-3.12
Rh4 0.5000 0.5498 0.7442  6 Sm 2.84-2.92, 3 Ag 2.97-3.12
Ag1 0.5000 0.7881 0.9353  1 Rh 3.12, 8 Sm 3.15-3.38, 1 Ag 3.17
Ag2 0.5000 0.6322 0.1551  1 Ag 3.05, 1 Rh 3.10, 8 Sm 3.16-3.41
Ag3 0.5000 0.8449 0.3678  1 Ag 3.05, 1 Rh 3.10, 8 Sm 3.16-3.41
Ag4 0.5000 0.1551 0.6322  1 Ag 3.05, 1 Rh 3.10, 8 Sm 3.16-3.41
Ag5 0.5000 0.5000 0.5000  4 Rh 2.97
Ag6 0.5000 0.3678 0.8449  1 Ag 3.05, 1 Rh 3.10, 8 Sm 3.16-3.41
Ag7 0.5000 0.0647 0.2119  1 Rh 3.12, 8 Sm 3.15-3.38, 1 Ag 3.17
Ag8 0.5000 0.2119 0.0647  1 Rh 3.12, 8 Sm 3.15-3.38, 1 Ag 3.17
Ag9 0.5000 0.9353 0.7881  1 Rh 3.12, 8 Sm 3.15-3.38, 1 Ag 3.17

Calculated values
Density of states at the Fermi level (states/eV/cell): 17.00
Formation enthalpy at 0 K (eV/atom): -0.44
Crystal system: orthorhombic
V (Å³/atom): 23.948
M_tot (μB per atom): 0.00



Entry 6:
Below is a relaxed RbLa3F crystal, with properties calculated at the PBE level.

Lattice parameters (Å, degrees): 5.4590 5.4590 5.4590 90.00 90.00 90.00
Closest atoms and distances in Å follow each position.
Fractional positions:
La1 0.0000 0.5000 0.0000  2 F 2.73
La2 0.5000 0.0000 0.0000  2 F 2.73
La3 0.0000 0.0000 0.5000  2 F 2.73
Rb1 0.5000 0.5000 0.5000  12 La 3.86
F1 0.0000 0.0000 0.0000  6 La 2.73

Calculated values
Density of states at the Fermi level (states/eV/cell): 5.49
Formation energy from raw total energies (eV/f.u.): -2.9
Crystal system: cubic
V (Å³/atom): 32.536
M_tot (μB per atom): 0.00



Entry 7:
Below is a relaxed TaTlOs2 crystal, with properties calculated at the PBE level.

Lattice parameters (Å, degrees): 5.2019 5.2019 5.2019 135.81 135.85 64.24
Closest atoms and distances in Å follow each position.
Fractional positions:
Tl1 0.2500 0.7500 0.5000  8 Os 2.77-2.95, 4 Ta 2.95
Os1 0.7500 0.2500 0.5000  4 Tl 2.77, 4 Ta 2.95, 4 Os 2.95
Os2 0.0000 0.0000 0.0000  4 Ta 2.77, 4 Os 2.95, 4 Tl 2.95
Ta1 0.5000 0.5000 0.0000  8 Os 2.77-2.95, 4 Tl 2.95

Calculated values
Density of states at the Fermi level (states/eV/cell): 1.92
Formation enthalpy at 0 K (eV/atom): 0.54
Crystal system: tetragonal
V (Å³/atom): 16.852
M_tot (μB per atom): 0.00



Entry 8:
Below is a relaxed Pm6GaRh2 crystal, with properties calculated at the PBE level.

Lattice parameters (Å, degrees): 8.6338 8.6338 8.6338 104.86 110.52 113.15
Closest atoms and distances in Å follow each position.
Fractional positions:
Pm1 0.1082 0.2856 0.8226  3 Rh 3.03-3.11, 1 Ga 3.23
Pm2 0.6932 0.0245 0.3312  3 Rh 2.78-3.05
Pm3 0.8061 0.7623 0.5684  1 Rh 2.84, 1 Ga 3.15
Pm4 0.6932 0.3620 0.6688  3 Rh 2.78-3.05
Pm5 0.8918 0.7144 0.1774  3 Rh 3.03-3.11, 1 Ga 3.23
Pm6 0.4629 0.2856 0.1774  3 Rh 3.03-3.11, 1 Ga 3.23
Pm7 0.3068 0.6380 0.3312  3 Rh 2.78-3.05
Pm8 0.1939 0.7623 0.9563  1 Rh 2.84, 1 Ga 3.15
Pm9 0.8061 0.2377 0.0437  1 Rh 2.84, 1 Ga 3.15
Pm10 0.5371 0.7144 0.8226  3 Rh 3.03-3.11, 1 Ga 3.23
Pm11 0.3068 0.9755 0.6688  3 Rh 2.78-3.05
Pm12 0.1939 0.2377 0.4316  1 Rh 2.84, 1 Ga 3.15
Ga1 0.0000 0.5000 0.5000  8 Pm 3.36-3.42
Ga2 0.0000 0.0000 0.0000  8 Pm 3.15-3.23, 2 Rh 3.25
Rh1 0.6695 0.0000 0.6695  8 Pm 2.84-3.11
Rh2 0.3305 0.0000 0.3305  8 Pm 2.84-3.11
Rh3 0.5000 0.6330 0.1330  6 Pm 2.78-3.03, 1 Rh 2.80
Rh4 0.5000 0.3670 0.8670  6 Pm 2.78-3.03, 1 Rh 2.80

Calculated values
Density of states at the Fermi level (states/eV/cell): 15.23
Formation enthalpy at 0 K (eV/atom): -0.50
Crystal system: orthorhombic
V (Å³/atom): 27.376
M_tot (μB per atom): 0.00



Entry 9:
Below is a relaxed NaLaReO6 crystal, with properties calculated at the PBE level.

Lattice parameters (Å, degrees): 5.6299 5.5955 4.9973 87.99 89.02 60.21
Closest atoms and distances in Å follow each position.
Fractional positions:
Na1 0.6533 0.6734 0.4999  6 O 2.34-2.48
O1 0.3152 0.6254 0.2841  1 Re 1.89
O2 0.6370 0.2890 0.6868  1 Re 1.99
O3 0.0680 0.3251 0.2687  1 Re 1.82
O4 0.6363 0.0741 0.3121  1 Re 2.00
O5 0.0682 0.6067 0.7318  1 Re 1.82
O6 0.3158 0.0593 0.7164  1 Re 1.89
Re1 0.3004 0.3498 0.5002  6 O 1.82-2.00
La1 0.0056 0.9973 0.0000  6 O 2.38-2.47

Calculated values
Formation energy from raw total energies (eV/f.u.): -17.9
Crystal system: monoclinic
V (Å³/atom): 15.171
M_tot (μB per atom): 0.12



Entry 10:
Below is a relaxed Sc2InFeC crystal, with properties calculated at the PBE level.

Lattice parameters (Å, degrees): 4.6349 3.7364 4.6349 90.00 90.00 90.00
Closest atoms and distances in Å follow each position.
Fractional positions:
Sc1 0.0000 0.0000 0.5000  2 C 2.32
Sc2 0.5000 0.0000 0.0000  2 C 2.32
C1 0.0000 0.0000 0.0000  2 Fe 1.87
Fe1 0.0000 0.5000 0.0000  2 C 1.87
In1 0.5000 0.5000 0.5000  8 Sc 2.98, 4 Fe 3.28

Calculated values
Density of states at the Fermi level (states/eV/cell): 4.28
Formation enthalpy at 0 K (eV/atom): -0.41
Crystal system: tetragonal
V (Å³/atom): 16.053
M_tot (μB per atom): 0.00



Entry 11:
Below is a relaxed Ta2Hg2P crystal, with properties calculated at the PBE level.

Lattice parameters (Å, degrees): 6.4325 6.4325 4.7548 90.00 90.00 90.00
Closest atoms and distances in Å follow each position.
Fractional positions:
Ta1 0.3413 0.8413 0.0000  2 P 2.42
Ta2 0.8413 0.6587 0.0000  2 P 2.42
Ta3 0.6587 0.1587 0.0000  2 P 2.42
Ta4 0.1587 0.3413 0.0000  2 P 2.42
Hg1 0.3386 0.1614 0.5000  6 Ta 2.89-3.15, 1 Hg 2.94
Hg2 0.8386 0.3386 0.5000  6 Ta 2.89-3.15, 1 Hg 2.94
Hg3 0.1614 0.6614 0.5000  6 Ta 2.89-3.15, 1 Hg 2.94
Hg4 0.6614 0.8386 0.5000  6 Ta 2.89-3.15, 1 Hg 2.94
P1 0.0000 0.0000 0.0000  4 Ta 2.42
P2 0.5000 0.5000 0.0000  4 Ta 2.42

Calculated values
Density of states at the Fermi level (states/eV/cell): 5.43
Formation enthalpy at 0 K (eV/atom): 0.00
Crystal system: tetragonal
V (Å³/atom): 19.674
M_tot (μB per atom): 0.00